1.
Compound: Na6TlPb5
Source: the Alexandria database
Functional: PBE
Structure: optimized geometry

Unit cell a=9.092 b=9.092 c=9.092 alpha=149.14 beta=115.00 gamma=73.68
Fractional positions:
Na1 0.082 0.333 0.749
Na2 0.249 0.000 0.249
Na3 0.416 0.667 0.749
Na4 0.584 0.333 0.251
Na5 0.751 0.000 0.751
Na6 0.918 0.667 0.251
Tl1 0.500 0.500 0.000
Pb1 0.000 0.500 0.500
Pb2 0.169 0.169 0.000
Pb3 0.331 0.831 0.500
Pb4 0.669 0.169 0.500
Pb5 0.831 0.831 0.000

Computed properties:
- Energy relative to the elements: -0.134 eV per atom
- Uncorrected energy: -2.54 eV per atom
- Density of states at the Fermi level: 4.5 states/eV/f.u.
- Magnetization: 0.0 μB/cell

2.
Compound: Ac2PuAu6
Source: the Alexandria database
Functional: PBE
Structure: optimized geometry

Unit cell a=8.377 b=8.377 c=3.746 alpha=90.00 beta=90.00 gamma=120.00
Fractional positions:
Ac1 0.333 0.667 0.000
Ac2 0.667 0.333 0.000
Pu1 0.000 0.000 0.000
Au1 0.000 0.331 0.500
Au2 0.000 0.669 0.500
Au3 0.331 0.000 0.500
Au4 0.331 0.331 0.500
Au5 0.669 0.000 0.500
Au6 0.669 0.669 0.500

Computed properties:
- Energy relative to the elements: -0.690 eV per atom
- Uncorrected energy: -5.38 eV per atom
- Density of states at the Fermi level: 15.3 states/eV/f.u.
- Energy above the lowest structure with this stoichiometry: 0 meV/atom
- Magnetization: 5.8 μB/cell

3.
Compound: RbLiSn2
Source: the Alexandria database
Functional: PBE
Structure: optimized geometry

Unit cell a=7.503 b=7.503 c=7.503 alpha=36.68 beta=36.68 gamma=36.68
Fractional positions:
Rb1 0.000 0.000 0.000
Li1 0.500 0.500 0.500
Sn1 0.204 0.204 0.204
Sn2 0.796 0.796 0.796

Computed properties:
- Energy relative to the elements: -0.272 eV per atom
- Uncorrected energy: -2.99 eV per atom
- Density of states at the Fermi level: 0.5 states/eV/f.u.
- Energy above the lowest structure with this stoichiometry: 0 meV/atom
- Magnetization: 0.0 μB/cell

4.
Compound: ReOsAu2
Source: the Alexandria database
Functional: PBE
Structure: optimized geometry

Unit cell a=4.812 b=2.836 c=4.954 alpha=90.00 beta=108.45 gamma=90.00
Fractional positions:
Re1 0.000 0.000 0.000
Os1 0.500 0.500 0.000
Au1 0.000 0.500 0.500
Au2 0.500 0.000 0.500

Computed properties:
- Energy relative to the elements: 0.601 eV per atom
- Uncorrected energy: -6.96 eV per atom
- Density of states at the Fermi level: 4.3 states/eV/f.u.
- Energy above the lowest structure with this stoichiometry: 383 meV/atom
- Magnetization: 0.0 μB/cell

5.
Compound: Na2SnHg2
Source: the Alexandria database
Functional: PBE
Structure: optimized geometry

Unit cell a=8.268 b=8.268 c=3.820 alpha=90.00 beta=90.00 gamma=90.00
Fractional positions:
Na1 0.169 0.331 0.000
Na2 0.331 0.831 0.000
Na3 0.669 0.169 0.000
Na4 0.831 0.669 0.000
Sn1 0.000 0.000 0.500
Sn2 0.500 0.500 0.500
Hg1 0.131 0.631 0.500
Hg2 0.369 0.131 0.500
Hg3 0.631 0.869 0.500
Hg4 0.869 0.369 0.500

Computed properties:
- Energy relative to the elements: -0.173 eV per atom
- Uncorrected energy: -1.62 eV per atom
- Density of states at the Fermi level: 2.0 states/eV/f.u.
- Energy above the lowest structure with this stoichiometry: 36 meV/atom
- Magnetization: 0.0 μB/cell

6.
Compound: Nd2TlCd6
Source: the Alexandria database
Functional: PBE
Structure: optimized geometry

Unit cell a=8.879 b=8.879 c=3.427 alpha=90.00 beta=90.00 gamma=120.00
Fractional positions:
Nd1 0.333 0.667 0.000
Nd2 0.667 0.333 0.000
Tl1 0.000 0.000 0.000
Cd1 0.000 0.332 0.500
Cd2 0.000 0.668 0.500
Cd3 0.332 0.000 0.500
Cd4 0.332 0.332 0.500
Cd5 0.668 0.000 0.500
Cd6 0.668 0.668 0.500

Computed properties:
- Energy relative to the elements: -0.218 eV per atom
- Uncorrected energy: -2.15 eV per atom
- Density of states at the Fermi level: 6.8 states/eV/f.u.
- Magnetization: 0.0 μB/cell

7.
Compound: Ni2BiP2
Source: the Alexandria database
Functional: PBE
Structure: optimized geometry

Unit cell a=6.144 b=6.144 c=6.144 alpha=144.28 beta=144.28 gamma=51.41
Fractional positions:
Ni1 0.128 0.128 0.000
Ni2 0.872 0.872 0.000
Bi1 0.500 0.500 0.000
P1 0.250 0.750 0.500
P2 0.750 0.250 0.500

Computed properties:
- Energy relative to the elements: -0.049 eV per atom
- Uncorrected energy: -5.30 eV per atom
- Density of states at the Fermi level: 2.4 states/eV/f.u.
- Energy above the lowest structure with this stoichiometry: 96 meV/atom
- Magnetization: 0.0 μB/cell

8.
Compound: Tb2Zn2Ru2C
Source: the Alexandria database
Functional: PBE
Structure: optimized geometry

Unit cell a=5.750 b=5.750 c=7.231 alpha=122.02 beta=122.02 gamma=38.98
Fractional positions:
Tb1 0.067 0.067 0.285
Tb2 0.933 0.933 0.715
Zn1 0.365 0.365 0.335
Zn2 0.635 0.635 0.665
Ru1 0.304 0.304 0.931
Ru2 0.696 0.696 0.069
C1 0.500 0.500 0.000

Computed properties:
- Energy relative to the elements: -0.344 eV per atom
- Uncorrected energy: -6.00 eV per atom
- Density of states at the Fermi level: 3.9 states/eV/f.u.
- Magnetization: 0.0 μB/cell

9.
Compound: SrAg3Pb
Source: the Alexandria database
Functional: PBE
Structure: optimized geometry

Unit cell a=5.683 b=5.683 c=5.471 alpha=112.33 beta=112.33 gamma=52.19
Fractional positions:
Sr1 0.000 0.000 0.000
Ag1 0.275 0.275 0.618
Ag2 0.345 0.345 0.171
Ag3 0.758 0.758 0.307
Pb1 0.614 0.614 0.677

Computed properties:
- Energy relative to the elements: -0.172 eV per atom
- Uncorrected energy: -2.96 eV per atom
- Density of states at the Fermi level: 1.8 states/eV/f.u.
- Energy above the lowest structure with this stoichiometry: 0 meV/atom
- Magnetization: 0.0 μB/cell

10.
Compound: K2YSiAs
Source: the Alexandria database
Functional: PBE
Structure: optimized geometry

Unit cell a=6.088 b=6.088 c=5.475 alpha=90.00 beta=90.00 gamma=90.00
Fractional positions:
K1 0.000 0.500 0.000
K2 0.500 0.000 0.000
Y1 0.000 0.000 0.500
Si1 0.500 0.500 0.500
As1 0.000 0.000 0.000

Computed properties:
- Uncorrected energy: -3.51 eV per atom
- Density of states at the Fermi level: 1.5 states/eV/f.u.
- Magnetization: 2.0 μB/cell
- Energy relative to the elements, uncorrected: 237.2 meV/atom

11.
Compound: ZrTa2Tl2
Source: the Alexandria database
Functional: PBE
Structure: optimized geometry

Unit cell a=7.285 b=7.285 c=7.285 alpha=146.18 beta=146.18 gamma=48.58
Fractional positions:
Zr1 0.000 0.000 0.000
Ta1 0.410 0.410 0.000
Ta2 0.590 0.590 0.000
Tl1 0.250 0.750 0.500
Tl2 0.750 0.250 0.500

Computed properties:
- Energy relative to the elements: 0.810 eV per atom
- Uncorrected energy: -6.59 eV per atom
- Density of states at the Fermi level: 4.3 states/eV/f.u.
- Energy above the lowest structure with this stoichiometry: 240 meV/atom
- Magnetization: 0.0 μB/cell

12.
Compound: HoMg9Pd3
Source: the Alexandria database
Functional: PBE
Structure: optimized geometry

Unit cell a=7.537 b=7.537 c=7.164 alpha=97.72 beta=97.72 gamma=136.21
Fractional positions:
Ho1 0.000 0.000 0.000
Mg1 0.000 0.000 0.500
Mg2 0.018 0.665 0.674
Mg3 0.297 0.519 0.788
Mg4 0.335 0.982 0.326
Mg5 0.481 0.703 0.212
Mg6 0.519 0.297 0.788
Mg7 0.665 0.018 0.674
Mg8 0.703 0.481 0.212
Mg9 0.982 0.335 0.326
Pd1 0.000 0.500 0.000
Pd2 0.500 0.000 0.000
Pd3 0.500 0.500 0.500

Computed properties:
- Energy relative to the elements: -0.377 eV per atom
- Uncorrected energy: -3.03 eV per atom
- Density of states at the Fermi level: 7.1 states/eV/f.u.
- Magnetization: 0.0 μB/cell

13.
Compound: La2SiCl
Source: the Alexandria database
Functional: PBE
Structure: optimized geometry

Unit cell a=5.193 b=5.193 c=5.193 alpha=60.00 beta=60.00 gamma=60.00
Fractional positions:
La1 0.000 0.000 0.000
La2 0.250 0.250 0.250
Si1 0.750 0.750 0.750
Cl1 0.500 0.500 0.500

Computed properties:
- Uncorrected energy: -4.56 eV per atom
- Density of states at the Fermi level: 2.5 states/eV/f.u.
- Energy above the lowest structure with this stoichiometry: 981 meV/atom
- Magnetization: 0.0 μB/cell
- Energy relative to the elements, uncorrected: -277.0 meV/atom